Record 1
The following is a meta-GGA SCAN calculation of GaTcSe2 at its PBEsol-relaxed geometry, from Alexandria via LeMat-Bulk.

Unit cell a=4.4975 b=4.4975 c=4.4975 alpha=60.00 beta=60.00 gamma=60.00
Sites, in units of the cell vectors:
Tc 0.5000 0.5000 0.5000
Se 0.7500 0.7500 0.7500
Se 0.2500 0.2500 0.2500
Ga 0.0000 0.0000 0.0000

Calculated values
VASP energy = -22.601 eV/atom
DOS(E_F) = 0.480 states/eV/atom
Formation energy (no corrections) = 6.7 kcal/mol of atoms
Total magnetization = 0.000 μB/cell
Space group = Fm-3m
Volume = 64.3 Å³ per cell


Record 2
The following is a meta-GGA SCAN calculation of TaTcIr2 at its PBEsol-relaxed geometry, from Alexandria via LeMat-Bulk.

Unit cell a=3.8893 b=3.8893 c=4.7661 alpha=114.08 beta=114.08 gamma=90.00
Sites, in units of the cell vectors:
Ir 0.7500 0.2500 0.5000
Ir 0.2500 0.7500 0.5000
Tc 0.0000 0.0000 0.0000
Ta 0.5000 0.5000 0.0000

Calculated values
VASP energy = -61.562 eV/atom
Polymorph energy (0 for the lowest one) = 42.0 meV/atom
DOS(E_F) = 0.730 states/eV/atom
Total magnetization = 0.000 μB/cell
Space group = I4/mmm
Volume = 58.9 Å³ per cell
Formation energy = -0.60 eV/atom


Record 3
The following is a meta-GGA SCAN calculation of CdP2Ru at its PBEsol-relaxed geometry, from Alexandria via LeMat-Bulk.

Unit cell a=2.8379 b=3.6082 c=6.8683 alpha=90.00 beta=90.00 gamma=90.00
Sites, in units of the cell vectors:
Cd 0.5000 0.5000 0.7815
P 0.5000 0.5000 0.4108
P 0.0000 0.0000 0.9922
Ru 0.0000 0.0000 0.3155

Calculated values
VASP energy = -21.517 eV/atom
DOS(E_F) = 0.388 states/eV/atom
Total magnetization = 0.000 μB/cell
Space group = Pmm2
Volume = 70.3 Å³ per cell
Formation energy = -0.01 eV/atom


Record 4
The following is a meta-GGA SCAN calculation of NbAsO4 at its PBEsol-relaxed geometry, from Alexandria via LeMat-Bulk.

Unit cell a=4.9218 b=5.4587 c=11.8324 alpha=90.00 beta=90.00 gamma=90.00
Sites, in units of the cell vectors:
Nb 0.0212 0.8930 0.9953
Nb 0.9788 0.1070 0.4953
Nb 0.4788 0.3930 0.9953
Nb 0.5212 0.6070 0.4953
O 0.3100 0.0750 0.0634
O 0.1683 0.1369 0.6648
O 0.7117 0.6511 0.9617
O 0.6683 0.3631 0.1648
O 0.8100 0.4250 0.5634
O 0.1900 0.5750 0.0634
O 0.2883 0.3489 0.4617
O 0.1661 0.8306 0.8453
O 0.3339 0.3306 0.8453
O 0.2117 0.8489 0.4617
O 0.8339 0.1694 0.3453
O 0.6900 0.9250 0.5634
O 0.3317 0.6369 0.6648
O 0.7883 0.1511 0.9617
O 0.8317 0.8631 0.1648
O 0.6661 0.6694 0.3453
As 0.0842 0.4309 0.7416
As 0.4158 0.9309 0.7416
As 0.9158 0.5691 0.2416
As 0.5841 0.0691 0.2416

Calculated values
VASP energy = -15.139 eV/atom
DOS(E_F) = 0.000 states/eV/atom
Formation energy (no corrections) = -48.4 kcal/mol of atoms
Total magnetization = 0.000 μB/cell
Space group = Pna2_1
Volume = 317.9 Å³ per cell


Record 5
The following is a meta-GGA SCAN calculation of Cd2PI at its PBEsol-relaxed geometry, from Alexandria via LeMat-Bulk.

Unit cell a=6.2939 b=6.2939 c=7.6846 alpha=114.17 beta=114.17 gamma=90.00
Sites, in units of the cell vectors:
Cd 0.4564 0.8750 0.2500
Cd 0.6250 0.5436 0.7500
Cd 0.1250 0.2064 0.7500
Cd 0.7936 0.3750 0.2500
P 0.5000 0.5000 0.0000
P 0.7500 0.2500 0.5000
I 0.2500 0.7500 0.5000
I 0.0000 0.0000 0.0000

Calculated values
VASP energy = -27.324 eV/atom
Polymorph energy (0 for the lowest one) = 0.0 meV/atom
DOS(E_F) = 0.000 states/eV/atom
Formation energy (no corrections) = -7.7 kcal/mol of atoms
Total magnetization = 0.000 μB/cell
Space group = I-42d
Volume = 248.2 Å³ per cell


Record 6
The following is a meta-GGA SCAN calculation of MgSbPb2 at its PBEsol-relaxed geometry, from Alexandria via LeMat-Bulk.

Unit cell a=3.5097 b=4.5734 c=6.7870 alpha=90.00 beta=90.00 gamma=90.00
Sites, in units of the cell vectors:
Pb 0.0000 0.0000 0.2546
Pb 0.0000 0.0000 0.7454
Mg 0.5000 0.5000 0.5000
Sb 0.5000 0.5000 0.0000

Calculated values
VASP energy = -48.403 eV/atom
Polymorph energy (0 for the lowest one) = 85.2 meV/atom
DOS(E_F) = 0.522 states/eV/atom
Formation energy (no corrections) = 1.1 kcal/mol of atoms
Total magnetization = 0.000 μB/cell
Space group = Pmmm
Volume = 108.9 Å³ per cell


Record 7
The following is a meta-GGA SCAN calculation of SbAsAu at its PBEsol-relaxed geometry, from Alexandria via LeMat-Bulk.

Unit cell a=3.9377 b=3.9377 c=4.7946 alpha=90.00 beta=90.00 gamma=120.00
Sites, in units of the cell vectors:
Sb 0.6667 0.3333 0.3477
Au 0.3333 0.6667 0.6826
As 0.0000 0.0000 0.9697

Calculated values
VASP energy = -42.272 eV/atom
Polymorph energy (0 for the lowest one) = 0.0 meV/atom
DOS(E_F) = 0.448 states/eV/atom
Formation energy (no corrections) = -1.6 kcal/mol of atoms
Total magnetization = 0.000 μB/cell
Space group = P3m1
Volume = 64.4 Å³ per cell


Record 8
The following is a meta-GGA SCAN calculation of HfZr3Pt at its PBEsol-relaxed geometry, from Alexandria via LeMat-Bulk.

Unit cell a=4.9553 b=4.9553 c=4.9553 alpha=90.00 beta=90.00 gamma=90.00
Sites, in units of the cell vectors:
Pt 0.5000 0.5000 0.5000
Zr 0.0000 0.5000 0.0000
Zr 0.5000 0.0000 0.0000
Zr 0.0000 0.0000 0.5000
Hf 0.0000 0.0000 0.0000

Calculated values
VASP energy = -43.931 eV/atom
DOS(E_F) = 0.973 states/eV/atom
Total magnetization = 0.000 μB/cell
Space group = Pm-3m
Volume = 121.7 Å³ per cell
Formation energy = 1.06 eV/atom


Copy entry 3 word for word.
The following is a meta-GGA SCAN calculation of CdP2Ru at its PBEsol-relaxed geometry, from Alexandria via LeMat-Bulk.

Unit cell a=2.8379 b=3.6082 c=6.8683 alpha=90.00 beta=90.00 gamma=90.00
Sites, in units of the cell vectors:
Cd 0.5000 0.5000 0.7815
P 0.5000 0.5000 0.4108
P 0.0000 0.0000 0.9922
Ru 0.0000 0.0000 0.3155

Calculated values
VASP energy = -21.517 eV/atom
DOS(E_F) = 0.388 states/eV/atom
Total magnetization = 0.000 μB/cell
Space group = Pmm2
Volume = 70.3 Å³ per cell
Formation energy = -0.01 eV/atom